Entry 1:
SmGeRuF, optimized geometry, DFT PBE; ΔE_f (raw) = -1.733 eV per atom; total magnetic moment = 0.0 μB per formula unit; calculated volume = 138.3 Å³ per cell
1.0
4.221 0.000 0.000
0.000 4.221 0.000
0.000 0.000 7.761
Sm Ge Ru F
2 2 2 2
Cartesian
1.055 1.055 1.441
3.166 3.166 6.320
1.055 1.055 5.134
3.166 3.166 2.627
1.055 3.166 3.881
3.166 1.055 3.881
1.055 3.166 0.000
3.166 1.055 0.000

***

Entry 2:
Co2AsRh, optimized geometry, DFT PBE; total magnetic moment = 3.4 μB per formula unit; DFT total energy = -6.293 eV/atom; calculated volume = 112.0 Å³ per cell
1.0
-1.779 1.779 8.843
1.779 -1.779 8.843
1.779 1.779 -8.843
Co As Rh
4 2 2
Cartesian
2.669 0.783 -2.211
0.783 0.890 2.211
-0.890 0.996 6.632
0.996 0.890 11.054
0.000 0.000 0.000
0.000 1.779 4.422
1.779 0.000 4.422
0.000 0.000 8.843

***

Entry 3:
PtRhAu2, optimized geometry, DFT PBE; offset from the most stable computed form = 61 meV/atom; total magnetic moment = 1.2 μB per formula unit; calculated volume = 66.0 Å³ per cell
1.0
4.706 -1.431 0.000
4.706 1.431 0.000
-0.873 0.000 4.904
Pt Rh Au
1 1 2
Cartesian
0.000 0.000 0.000
1.754 0.000 3.833
4.333 0.000 2.522
6.848 0.000 1.319

***

Entry 4:
Cd3Ru5, optimized geometry, DFT PBE; offset from the most stable computed form = 178 meV/atom; total magnetic moment = 2.2 μB per formula unit; calculated volume = 281.0 Å³ per cell
1.0
8.252 0.000 0.000
-4.126 7.146 0.000
0.000 0.000 4.766
Cd Ru
6 10
Cartesian
-1.622 2.809 1.191
-2.504 4.337 3.574
3.243 0.000 1.191
1.622 2.809 3.574
5.008 0.000 3.574
2.504 4.337 1.191
-0.733 1.270 3.574
-3.393 5.876 1.191
1.466 0.000 3.574
0.733 1.270 1.191
0.000 4.764 0.000
0.000 4.764 2.383
4.126 2.382 0.000
4.126 2.382 2.383
6.785 0.000 1.191
3.393 5.876 3.574

***

Entry 5:
YTe2Rh, optimized geometry, DFT PBE; offset from the most stable computed form = 418 meV/atom; ΔE_f (raw) = -0.394 eV per atom; total magnetic moment = 0.4 μB per formula unit; calculated volume = 92.8 Å³ per cell
1.0
3.628 0.000 0.000
0.000 3.628 0.000
0.000 0.000 7.055
Y Te Rh
1 2 1
Cartesian
0.000 0.000 0.000
1.814 1.814 1.878
1.814 1.814 5.177
0.000 0.000 3.527

***

Entry 6:
TlTe2Os, optimized geometry, DFT PBE; offset from the most stable computed form = 70 meV/atom; ΔE_f (raw) = 0.180 eV per atom; total magnetic moment = 0.0 μB per formula unit; calculated volume = 126.9 Å³ per cell
1.0
1.947 1.124 9.666
-1.947 1.124 9.666
0.000 -2.248 9.666
Tl Te Os
1 2 1
Cartesian
0.000 0.000 0.000
0.000 0.000 3.402
0.000 0.000 25.596
0.000 0.000 14.499

***

Entry 7:
BaNaGeRh, optimized geometry, DFT PBE; total magnetic moment = 0.0 μB per formula unit; DFT total energy = -4.269 eV/atom; calculated volume = 239.4 Å³ per cell
1.0
4.289 0.000 0.000
0.000 4.289 0.000
0.000 0.000 13.017
Ba Na Ge Rh
2 2 2 2
Cartesian
1.072 1.072 2.826
3.217 3.217 10.190
1.072 3.217 6.508
3.217 1.072 6.508
1.072 1.072 11.744
3.217 3.217 1.272
1.072 3.217 0.000
3.217 1.072 0.000

***

Entry 8:
MnAlPt, optimized geometry, DFT PBE; total magnetic moment = 3.1 μB per formula unit; DFT total energy = -6.623 eV/atom; calculated volume = 44.0 Å³ per cell
1.0
2.841 0.000 0.000
-1.420 2.460 0.000
0.000 0.000 6.290
Mn Al Pt
1 1 1
Cartesian
0.000 0.000 0.000
1.420 0.820 4.250
0.000 1.640 2.189

***

Entry 9:
YRu2W2, optimized geometry, DFT PBE; offset from the most stable computed form = 0 meV/atom; total magnetic moment = 0.0 μB per formula unit; calculated volume = 97.4 Å³ per cell
1.0
-2.168 2.168 5.182
2.168 -2.168 5.182
2.168 2.168 -5.182
Y Ru W
1 2 2
Cartesian
0.000 0.000 0.000
0.000 0.000 3.869
0.000 0.000 6.495
2.168 0.000 2.591
0.000 2.168 2.591

***

Entry 10:
B2SbI, optimized geometry, DFT PBE; offset from the most stable computed form = 0 meV/atom; ΔE_f (raw) = 1.245 eV per atom; total magnetic moment = 0.0 μB per formula unit; calculated volume = 162.5 Å³ per cell
1.0
-3.015 3.015 4.469
3.015 -3.015 4.469
3.015 3.015 -4.469
B Sb I
4 2 2
Cartesian
4.523 1.269 -1.117
1.269 1.508 1.117
-1.508 1.746 3.352
1.746 1.508 5.587
0.000 0.000 0.000
0.000 3.015 2.235
3.015 0.000 2.235
0.000 0.000 4.469

***

Entry 11:
CsRbTaBr6, optimized geometry, DFT PBE; ΔE_f (raw) = -1.251 eV per atom; total magnetic moment = 1.0 μB per formula unit; calculated volume = 761.0 Å³ per cell
1.0
8.501 0.000 0.000
-4.251 7.362 0.000
0.000 0.000 12.159
Cs Rb Ta Br
2 2 2 12
Cartesian
0.000 4.908 3.040
4.251 2.454 9.119
0.000 0.000 0.000
0.000 0.000 6.079
0.000 4.908 9.119
4.251 2.454 3.040
-0.992 3.052 7.609
-2.104 4.977 10.629
0.992 3.052 10.629
-1.112 6.695 7.609
3.139 0.667 1.530
2.147 2.385 4.550
2.104 4.977 7.609
1.112 6.695 10.629
5.362 0.667 4.550
3.259 4.311 1.530
6.354 2.385 1.530
5.242 4.311 4.550

***

Entry 12:
AcGe2BiO8, optimized geometry, DFT PBE; ΔE_f (raw) = -1.672 eV per atom; total magnetic moment = 0.0 μB per formula unit; calculated volume = 180.6 Å³ per cell
1.0
-3.701 3.701 3.296
3.701 -3.701 3.296
3.701 3.701 -3.296
Ac Ge Bi O
1 2 1 8
Cartesian
0.000 0.000 0.000
0.000 0.000 3.296
0.000 3.701 1.648
3.701 0.000 1.648
2.323 3.701 -1.142
1.379 0.000 2.154
0.000 2.437 0.393
3.701 2.323 1.142
0.000 4.965 0.393
0.000 1.379 4.439
-1.264 3.701 2.903
1.264 3.701 2.903

***

Entry 13:
BiAs2SeS, optimized geometry, DFT PBE; offset from the most stable computed form = 0 meV/atom; ΔE_f (raw) = 0.474 eV per atom; total magnetic moment = 0.0 μB per formula unit; calculated volume = 116.8 Å³ per cell
1.0
4.916 0.000 0.000
0.000 4.916 0.000
0.000 0.000 4.833
Bi As Se S
1 2 1 1
Cartesian
0.000 0.000 0.000
0.000 2.458 2.416
2.458 0.000 2.416
2.458 2.458 0.000
2.458 2.458 2.416

***

Entry 14:
In2SbAu, optimized geometry, DFT PBE; offset from the most stable computed form = 66 meV/atom; ΔE_f (raw) = -0.011 eV per atom; total magnetic moment = 0.0 μB per formula unit; calculated volume = 105.9 Å³ per cell
1.0
-1.999 2.069 6.405
1.999 -2.069 6.405
1.999 2.069 -6.405
In Sb Au
2 1 1
Cartesian
0.000 0.000 2.442
0.000 0.000 10.368
0.000 2.069 0.000
1.999 0.000 0.000

***

Entry 15:
HfCrB2Cl, optimized geometry, DFT PBE; ΔE_f (raw) = 1.547 eV per atom; total magnetic moment = 1.8 μB per formula unit; calculated volume = 70.6 Å³ per cell
1.0
4.163 0.000 0.000
0.000 4.163 0.000
0.000 0.000 4.073
Hf Cr B Cl
1 1 2 1
Cartesian
0.000 0.000 0.000
2.082 2.082 0.000
0.000 2.082 2.037
2.082 0.000 2.037
2.082 2.082 2.037

***

Entry 16:
Al2V3Cu2, optimized geometry, DFT PBE; total magnetic moment = 0.0 μB per formula unit; DFT total energy = -6.147 eV/atom; calculated volume = 94.4 Å³ per cell
1.0
3.675 -2.123 0.000
3.675 2.123 0.000
-2.458 0.000 6.045
Al V Cu
2 3 2
Cartesian
-0.001 0.000 1.371
4.894 0.000 4.674
2.449 0.000 0.357
2.446 0.000 3.023
2.444 0.000 5.689
-0.007 0.000 3.912
4.900 0.000 2.133

***

Entry 17:
PmDy8Er2, optimized geometry, DFT PBE; offset from the most stable computed form = 0 meV/atom; total magnetic moment = 0.0 μB per formula unit; calculated volume = 353.4 Å³ per cell
1.0
-2.749 4.055 7.926
2.749 -4.055 7.926
2.749 4.055 -7.926
Pm Dy Er
1 8 2
Cartesian
0.000 0.000 0.000
2.749 -1.674 5.721
2.749 0.000 2.593
2.749 2.395 0.000
0.000 2.381 2.205
2.749 1.674 5.721
0.000 1.660 7.926
0.000 4.055 5.333
0.000 5.729 2.205
0.000 0.000 4.759
0.000 0.000 11.092

***

Entry 18:
Rb5Pt3, optimized geometry, DFT PBE; offset from the most stable computed form = 130 meV/atom; total magnetic moment = 1.3 μB per formula unit; calculated volume = 601.4 Å³ per cell
1.0
9.943 0.000 0.000
-4.971 8.611 0.000
0.000 0.000 7.023
Rb Pt
10 6
Cartesian
-1.381 2.391 1.756
-3.591 6.219 5.267
2.761 0.000 1.756
1.381 2.391 5.267
0.000 5.741 0.000
0.000 5.741 3.512
4.971 2.870 0.000
4.971 2.870 3.512
7.182 0.000 5.267
3.591 6.219 1.756
-1.928 3.340 5.267
-3.043 5.271 1.756
3.857 0.000 5.267
1.928 3.340 1.756
6.086 0.000 1.756
3.043 5.271 5.267

***

Entry 19:
Tm2HfZr, optimized geometry, DFT PBE; offset from the most stable computed form = 16 meV/atom; total magnetic moment = 0.0 μB per formula unit; calculated volume = 102.5 Å³ per cell
1.0
3.279 0.000 0.000
0.000 3.279 0.000
0.000 0.000 9.538
Tm Hf Zr
2 1 1
Cartesian
0.000 0.000 2.359
0.000 0.000 7.179
1.639 1.639 0.000
1.639 1.639 4.769

***

Entry 20:
PmDy2Tl, optimized geometry, DFT PBE; offset from the most stable computed form = 84 meV/atom; total magnetic moment = 0.0 μB per formula unit; calculated volume = 125.3 Å³ per cell
1.0
1.832 1.057 10.782
-1.832 1.057 10.782
0.000 -2.115 10.782
Pm Dy Tl
1 2 1
Cartesian
0.000 0.000 0.000
0.000 0.000 18.661
0.000 0.000 24.479
0.000 0.000 5.392

***

Entry 21:
CaDyHgRh, optimized geometry, DFT PBE; offset from the most stable computed form = 0 meV/atom; total magnetic moment = 0.0 μB per formula unit; calculated volume = 93.6 Å³ per cell
1.0
3.567 0.000 0.000
0.000 3.567 0.000
0.000 0.000 7.357
Ca Dy Hg Rh
1 1 1 1
Cartesian
0.000 0.000 0.000
0.000 0.000 4.041
1.783 1.783 2.054
1.783 1.783 5.439

***

Entry 22:
SrHo2VN4, optimized geometry, DFT PBE; ΔE_f (raw) = -1.344 eV per atom; total magnetic moment = 0.7 μB per formula unit; calculated volume = 239.9 Å³ per cell
1.0
1.713 -5.961 0.000
1.713 5.961 0.000
0.000 0.000 11.746
Sr Ho V N
2 4 2 8
Cartesian
1.713 4.862 8.810
1.713 -4.862 2.937
1.713 1.541 6.354
1.713 1.541 11.265
1.713 -1.541 0.481
1.713 -1.541 5.392
1.713 3.875 2.937
1.713 -3.875 8.810
0.000 0.000 0.000
0.000 0.000 5.873
1.713 2.870 1.434
1.713 2.870 4.439
1.713 1.116 8.810
1.713 -1.116 2.937
1.713 -2.870 7.307
1.713 -2.870 10.312

***

Entry 23:
La2PbW, optimized geometry, DFT PBE; total magnetic moment = 0.4 μB per formula unit; DFT total energy = -6.040 eV/atom; calculated volume = 111.5 Å³ per cell
1.0
5.849 0.000 0.000
0.000 3.214 0.000
-2.603 0.000 5.930
La Pb W
2 1 1
Cartesian
0.000 0.000 0.000
1.623 1.607 2.965
-1.302 0.000 2.965
2.924 1.607 0.000

***

Entry 24:
LiInSbTe2, optimized geometry, DFT PBE; offset from the most stable computed form = 0 meV/atom; ΔE_f (raw) = 0.135 eV per atom; total magnetic moment = 0.0 μB per formula unit; calculated volume = 142.8 Å³ per cell
1.0
5.388 0.000 0.000
0.000 5.388 0.000
0.000 0.000 4.918
Li In Sb Te
1 1 1 2
Cartesian
0.000 0.000 0.000
2.694 2.694 2.459
0.000 0.000 2.459
0.000 2.694 0.000
2.694 0.000 0.000

***

Entry 25:
AcNi4C, optimized geometry, DFT PBE; total magnetic moment = 0.0 μB per formula unit; DFT total energy = -6.037 eV/atom; calculated volume = 84.3 Å³ per cell
1.0
3.812 0.000 0.000
0.000 3.812 0.000
0.000 0.000 5.798
Ac Ni C
1 4 1
Cartesian
0.000 0.000 0.000
0.000 1.906 2.899
1.906 0.000 2.899
1.906 1.906 1.225
1.906 1.906 4.574
0.000 0.000 2.899

***

Respective N(E_F) values: 2.0, 5.8, 5.0, 9.3, 5.6, 5.0, 2.6, 2.3, 3.5, 2.3, 7.5, 8.5, 4.9, 1.3, 3.9, 7.7, 15.5, 14.3, 4.8, 5.6, 3.1, 3.2, 5.3, 4.4, 4.8 states/eV/f.u..